# 1
Computed, not measured: a relaxed structure of TaFe2Ru at the GGA-PBE level of DFT.

abc: 8.5449 8.5449 8.5449
angles: 18.88 18.88 18.88
Closest atoms and distances in Å follow each position.
Atoms (fractional coordinates):
Ru: 0.5039 0.5039 0.5039  3 Fe 2.65, 3 Ta 2.77, 6 Ru 2.80
Fe: 0.9943 0.9943 0.9943  3 Fe 2.47, 3 Ta 2.72
Fe: 0.2537 0.2537 0.2537  3 Fe 2.47, 3 Ru 2.65
Ta: 0.7480 0.7480 0.7480  3 Fe 2.72, 3 Ru 2.77, 6 Ta 2.80

Results
As for the crystal system: trigonal. The calculation puts the electronic total energy at -9.33 eV per atom. As for the energy above the most stable polymorph in this dataset: 324 meV/atom. As for the formation energy: 0.19 eV per atom. The calculated density is 11.45 g cm⁻³. Its space group is No. 160. As for the volume: 14.274 A^3/atom.

---

# 2
Computed, not measured: a relaxed structure of TaFe2Ru at the GGA-PBE level of DFT.

abc: 3.5843 3.5843 9.7734
angles: 79.43 79.43 90.00
Closest atoms and distances in Å follow each position.
Atoms (fractional coordinates):
Ru: 0.5000 0.5000 0.0000  4 Ta 2.53, 4 Fe 2.67
Ru: 0.2500 0.7500 0.5000  4 Ta 2.53, 4 Fe 2.67
Fe: 0.8750 0.8705 0.7500  4 Fe 2.51-2.56, 2 Ru 2.67, 2 Ta 2.68
Fe: 0.6205 0.1250 0.2500  4 Fe 2.51-2.56, 2 Ru 2.67, 2 Ta 2.68
Fe: 0.1295 0.6250 0.2500  4 Fe 2.51-2.56, 2 Ru 2.67, 2 Ta 2.68
Fe: 0.3750 0.3795 0.7500  4 Fe 2.51-2.56, 2 Ru 2.67, 2 Ta 2.68
Ta: 0.7500 0.2500 0.5000  4 Ru 2.53, 4 Fe 2.68
Ta: 0.0000 0.0000 0.0000  4 Ru 2.53, 4 Fe 2.68

Results
As for the crystal system: tetragonal. The calculation puts the electronic total energy at -9.09 eV per atom. As for the energy above the most stable polymorph in this dataset: 559 meV/atom. As for the formation energy: 0.42 eV per atom. The calculated density is 10.78 g cm⁻³. Its space group is No. 122. As for the volume: 15.158 A^3/atom.

---

# 3
Computed, not measured: a relaxed structure of Ta2Fe2Ru at the GGA-PBE level of DFT.

abc: 6.7192 6.7192 3.1763
angles: 90.00 90.00 90.00
Closest atoms and distances in Å follow each position.
Atoms (fractional coordinates):
Ta: 0.1906 0.6906 0.5000  6 Fe 2.45-2.64
Ta: 0.8094 0.3094 0.5000  6 Fe 2.45-2.64
Ta: 0.6906 0.8094 0.5000  6 Fe 2.45-2.64
Ta: 0.3094 0.1906 0.5000  6 Fe 2.45-2.64
Fe: 0.8863 0.6137 0.0000  1 Fe 2.16
Fe: 0.6137 0.1137 0.0000  1 Fe 2.16
Fe: 0.3863 0.8863 0.0000  1 Fe 2.16
Fe: 0.1137 0.3863 0.0000  1 Fe 2.16
Ru: 0.0000 0.0000 0.0000  4 Fe 2.71, 8 Ta 2.91
Ru: 0.5000 0.5000 0.0000  4 Fe 2.71, 8 Ta 2.91

Results
As for the crystal system: tetragonal. The calculation puts the electronic total energy at -10.04 eV per atom. As for the energy above the most stable polymorph in this dataset: 4 meV/atom. As for the formation energy: -0.06 eV per atom. The calculated density is 13.31 g cm⁻³. Its space group is No. 127. As for the volume: 14.340 A^3/atom.

---

# 4
Computed, not measured: a relaxed structure of TaFe2Ru at the GGA-PBE level of DFT.

abc: 3.0832 3.0832 5.8744
angles: 90.00 90.00 90.00
Closest atoms and distances in Å follow each position.
Atoms (fractional coordinates):
Ta: 0.5000 0.5000 0.7577  5 Fe 2.64-2.80, 4 Ru 2.67
Fe: 0.0000 0.0000 0.0125  4 Fe 2.54, 4 Ta 2.64, 1 Ru 2.84
Fe: 0.5000 0.5000 0.2346  4 Fe 2.54, 4 Ru 2.66, 1 Ta 2.80
Ru: 0.0000 0.0000 0.4952  5 Fe 2.66-2.84, 4 Ta 2.67

Results
As for the crystal system: tetragonal. The calculation puts the electronic total energy at -9.65 eV per atom. As for the energy above the most stable polymorph in this dataset: 1 meV/atom. As for the formation energy: -0.14 eV per atom. The calculated density is 11.71 g cm⁻³. Its space group is No. 99. As for the volume: 13.961 A^3/atom.

---

What is the formula in the fourth record? TaFe2Ru

---

Repeat the third record exactly.
Computed, not measured: a relaxed structure of Ta2Fe2Ru at the GGA-PBE level of DFT.

abc: 6.7192 6.7192 3.1763
angles: 90.00 90.00 90.00
Closest atoms and distances in Å follow each position.
Atoms (fractional coordinates):
Ta: 0.1906 0.6906 0.5000  6 Fe 2.45-2.64
Ta: 0.8094 0.3094 0.5000  6 Fe 2.45-2.64
Ta: 0.6906 0.8094 0.5000  6 Fe 2.45-2.64
Ta: 0.3094 0.1906 0.5000  6 Fe 2.45-2.64
Fe: 0.8863 0.6137 0.0000  1 Fe 2.16
Fe: 0.6137 0.1137 0.0000  1 Fe 2.16
Fe: 0.3863 0.8863 0.0000  1 Fe 2.16
Fe: 0.1137 0.3863 0.0000  1 Fe 2.16
Ru: 0.0000 0.0000 0.0000  4 Fe 2.71, 8 Ta 2.91
Ru: 0.5000 0.5000 0.0000  4 Fe 2.71, 8 Ta 2.91

Results
As for the crystal system: tetragonal. The calculation puts the electronic total energy at -10.04 eV per atom. As for the energy above the most stable polymorph in this dataset: 4 meV/atom. As for the formation energy: -0.06 eV per atom. The calculated density is 13.31 g cm⁻³. Its space group is No. 127. As for the volume: 14.340 A^3/atom.

---

What did the second record say?
Computed, not measured: a relaxed structure of TaFe2Ru at the GGA-PBE level of DFT.

abc: 3.5843 3.5843 9.7734
angles: 79.43 79.43 90.00
Closest atoms and distances in Å follow each position.
Atoms (fractional coordinates):
Ru: 0.5000 0.5000 0.0000  4 Ta 2.53, 4 Fe 2.67
Ru: 0.2500 0.7500 0.5000  4 Ta 2.53, 4 Fe 2.67
Fe: 0.8750 0.8705 0.7500  4 Fe 2.51-2.56, 2 Ru 2.67, 2 Ta 2.68
Fe: 0.6205 0.1250 0.2500  4 Fe 2.51-2.56, 2 Ru 2.67, 2 Ta 2.68
Fe: 0.1295 0.6250 0.2500  4 Fe 2.51-2.56, 2 Ru 2.67, 2 Ta 2.68
Fe: 0.3750 0.3795 0.7500  4 Fe 2.51-2.56, 2 Ru 2.67, 2 Ta 2.68
Ta: 0.7500 0.2500 0.5000  4 Ru 2.53, 4 Fe 2.68
Ta: 0.0000 0.0000 0.0000  4 Ru 2.53, 4 Fe 2.68

Results
As for the crystal system: tetragonal. The calculation puts the electronic total energy at -9.09 eV per atom. As for the energy above the most stable polymorph in this dataset: 559 meV/atom. As for the formation energy: 0.42 eV per atom. The calculated density is 10.78 g cm⁻³. Its space group is No. 122. As for the volume: 15.158 A^3/atom.

---

What is the formula in the fourth record? TaFe2Ru